Record 1
KCaBi2 | PBE | optimized geometry

The space group is P4/mmm (No. 123) and the conventional cell measures 4.338, 4.338 and 7.736 Å, with angles of 90.00, 90.00 and 90.00 degrees. Symmetry generates all atoms from K at (0.000, 0.000, 0.000), Ca at (0.000, 0.000, 0.500) and Bi at (0.500, 0.500, 0.305).

The calculation puts the volume at 36.39 Å³/atom. As for the crystal system: tetragonal.

Record 2
LaTh2Au | PBE | optimized geometry

The space group is R-3m (No. 166, hexagonal axes) and the conventional cell measures 3.5072, 3.5072 and 34.7540 Å, with angles of 90.00, 90.00 and 120.00 degrees. Symmetry generates all atoms from La at (0.0000, 0.0000, 0.0000), Th at (0.0000, 0.0000, 0.0979) and Au at (0.0000, 0.0000, 0.5000).

The calculation puts the volume at 30.85 Å³/atom. As for the crystal system: trigonal.

Record 3
TePtI2N | PBE | optimized geometry

The space group is P4/mmm (No. 123) and the conventional cell measures 4.749, 4.749 and 5.032 Å, with angles of 90.00, 90.00 and 90.00 degrees. Symmetry generates all atoms from Te at (0.000, 0.000, 0.000), Pt at (0.500, 0.500, 0.000), I at (0.000, 0.500, 0.500) and N at (0.000, 0.000, 0.500).

The calculation puts the volume at 22.69 Å³/atom. As for the uncorrected formation energy: 6.50 eV per formula unit. As for the crystal system: tetragonal.

Record 4
AcTl2AgBr6 | PBE | optimized geometry

The space group is P2_1/c (No. 14) and the conventional cell measures 7.822, 8.318 and 13.461 Å, with angles of 90.00, 124.04 and 90.00 degrees. Symmetry generates all atoms from Ac at (0.000, 0.000, 0.000), Tl at (0.287, 0.082, 0.757), Ag at (0.500, 0.000, 0.500), Br at (0.140, 0.032, 0.261), Br at (0.252, 0.694, 0.059) and Br at (0.373, 0.195, 0.057).

The calculation puts the volume at 36.29 Å³/atom. As for the uncorrected formation energy: -12.06 eV per formula unit. As for the crystal system: monoclinic.

Record 5
BaLi2P | PBE | optimized geometry

The space group is R3m (No. 160, hexagonal axes) and the conventional cell measures 4.3865, 4.3865 and 17.4505 Å, with angles of 90.00, 90.00 and 120.00 degrees. Symmetry generates all atoms from Ba at (0.0000, 0.0000, 0.0000), Li at (0.0000, 0.0000, 0.1843), Li at (0.0000, 0.0000, 0.4794) and P at (0.0000, 0.0000, 0.8076).

The calculation puts the volume at 24.23 Å³/atom. As for the crystal system: trigonal.

Record 6
P2HS2 | PBE | optimized geometry

The space group is P4/mmm (No. 123) and the conventional cell measures 4.028, 4.028 and 4.026 Å, with angles of 90.00, 90.00 and 90.00 degrees. Symmetry generates all atoms from P at (0.000, 0.500, 0.000), H at (0.000, 0.000, 0.000), S at (0.000, 0.000, 0.500) and S at (0.500, 0.500, 0.500).

The calculation puts the volume at 13.07 Å³/atom. As for the crystal system: tetragonal.

Record 7
GaCu2Au4 | PBE | optimized geometry

The space group is I4/mmm (No. 139) and the conventional cell measures 5.837, 5.837 and 7.051 Å, with angles of 90.00, 90.00 and 90.00 degrees. Symmetry generates all atoms from Ga at (0.000, 0.000, 0.000), Cu at (0.000, 0.500, 0.000) and Au at (0.250, 0.250, 0.250).

The calculation puts the volume at 17.16 Å³/atom. As for the crystal system: tetragonal.

Record 8
Rb2OsPtI6 | PBE | optimized geometry

The space group is I4/mmm (No. 139) and the conventional cell measures 7.962, 7.962 and 11.330 Å, with angles of 90.00, 90.00 and 90.00 degrees. Symmetry generates all atoms from Rb at (0.000, 0.500, 0.250), Os at (0.000, 0.000, 0.000), Pt at (0.000, 0.000, 0.500), I at (0.000, 0.000, 0.245) and I at (0.247, 0.247, 0.000).

The calculation puts the volume at 35.91 Å³/atom. As for the uncorrected formation energy: -3.18 eV per formula unit. As for the crystal system: tetragonal.

Across the entries above, final energy takes the values -3.266 -5.742 -2.821 -3.379 -3.418 -3.363 -3.529 -3.169 eV per atom, respectively.